! Zr2Al3Zn3 GGA-PBE optimized geometry; values from VASP
&SYSTEM
  ibrav = 0, nat = 8, ntyp = 3
/
ATOMIC_SPECIES
Zr 91.22 Zr.upf
Al 26.98 Al.upf
Zn 65.41 Zn.upf
ATOMIC_POSITIONS crystal
Zr 0.000 0.000 0.748
Zr 0.000 0.000 0.252
Al 0.500 0.000 0.500
Al 0.000 0.500 0.000
Al 0.000 0.500 0.500
Zn 0.500 0.500 0.751
Zn 0.500 0.500 0.249
Zn 0.500 0.000 0.000
CELL_PARAMETERS angstrom
4.112 0.000 0.000
0.000 4.075 0.000
0.000 0.000 8.093
! - Total moment: 0.00 μB/cell
! - ΔH_f (0 K): -3.55 eV/f.u.
! - Theoretical density: 5.63 g cm⁻³